No. 1
Crystalline LiThPt at its relaxed geometry. Source: OQMD, functional PBE.

abc: 7.430 4.017 12.792
angles: 90.00 90.78 90.00
Element x y z (fractional)
Li  0.013  0.250  0.079
Li  0.117  0.750  0.538
Li  0.381  0.250  0.200
Li  0.619  0.750  0.800
Li  0.883  0.250  0.462
Li  0.987  0.750  0.921
Th  0.061  0.750  0.286
Th  0.329  0.250  0.919
Th  0.447  0.250  0.627
Th  0.553  0.750  0.373
Th  0.671  0.750  0.081
Th  0.939  0.250  0.714
Pt  0.234  0.750  0.752
Pt  0.267  0.750  0.081
Pt  0.268  0.250  0.415
Pt  0.732  0.750  0.585
Pt  0.733  0.250  0.919
Pt  0.766  0.250  0.248

crystal system: monoclinic
magnetic moment: 0.005 μB per cell
excess energy over the best structure of this formula in the dataset: 0.0000 eV per atom
calculated total energy: -107.1 eV for the cell shown



No. 2
Crystalline CsNaTm at its relaxed geometry. Source: OQMD, functional PBE.

abc: 8.712 8.712 8.712
angles: 90.00 90.00 90.00
Element x y z (fractional)
Cs  0.000  0.000  0.000
Cs  0.000  0.500  0.500
Cs  0.500  0.000  0.500
Cs  0.500  0.500  0.000
Na  0.000  0.000  0.500
Na  0.000  0.500  0.000
Na  0.500  0.000  0.000
Na  0.500  0.500  0.500
Tm  0.250  0.250  0.250
Tm  0.250  0.750  0.750
Tm  0.750  0.250  0.750
Tm  0.750  0.750  0.250

crystal system: cubic
magnetic moment: 5.016 μB per cell
calculated total energy: -15.1 eV for the cell shown



No. 3
Crystalline Dy3Er2Lu2Te2Pd2 at its relaxed geometry. Source: OQMD, functional PBE.

abc: 9.364 9.364 9.364
angles: 155.88 67.17 118.38
Element x y z (fractional)
Dy  0.000  0.000  0.000
Dy  0.057  0.374  0.683
Dy  0.691  0.374  0.317
Er  0.452  0.582  0.870
Er  0.711  0.582  0.130
Lu  0.090  0.734  0.357
Lu  0.377  0.734  0.643
Te  0.337  0.337  0.000
Te  0.733  0.233  0.500
Pd  0.310  0.074  0.236
Pd  0.839  0.074  0.764

crystal system: orthorhombic
magnetic moment: 0.004 μB per cell
excess energy over the best structure of this formula in the dataset: 0.0199 eV per atom
calculated total energy: -57.9 eV for the cell shown



No. 4
Crystalline NbNiPt at its relaxed geometry. Source: OQMD, functional PBE.

abc: 5.978 5.978 5.978
angles: 90.00 90.00 90.00
Element x y z (fractional)
Nb  0.000  0.000  0.000
Nb  0.000  0.500  0.500
Nb  0.500  0.000  0.500
Nb  0.500  0.500  0.000
Ni  0.250  0.250  0.750
Ni  0.250  0.750  0.250
Ni  0.750  0.250  0.250
Ni  0.750  0.750  0.750
Pt  0.250  0.250  0.250
Pt  0.250  0.750  0.750
Pt  0.750  0.250  0.750
Pt  0.750  0.750  0.250

crystal system: cubic
calculated formation energy: 0.2 eV per formula unit
magnetic moment: 0.017 μB per cell
excess energy over the best structure of this formula in the dataset: 0.1157 eV per atom
calculated total energy: -86.1 eV for the cell shown



No. 5
Crystalline PrTm2Mg3ZnIn2 at its relaxed geometry. Source: OQMD, functional PBE.

abc: 4.607 7.544 7.544
angles: 121.50 90.00 90.00
Element x y z (fractional)
Pr  0.000  0.000  0.000
Tm  0.000  0.412  0.827
Tm  0.000  0.827  0.412
Mg  0.500  0.182  0.417
Mg  0.500  0.417  0.182
Mg  0.500  0.654  0.654
Zn  0.000  0.429  0.429
In  0.500  0.083  0.741
In  0.500  0.741  0.083

crystal system: orthorhombic
magnetic moment: 0.003 μB per cell
calculated total energy: -28.2 eV for the cell shown



No. 6
Crystalline Cu2Ag3 at its relaxed geometry. Source: OQMD, functional PBE.

abc: 4.879 4.879 8.844
angles: 91.23 91.23 47.79
Element x y z (fractional)
Cu  0.000  0.000  0.000
Cu  0.210  0.210  0.410
Cu  0.500  0.500  0.500
Cu  0.790  0.790  0.590
Ag  0.093  0.093  0.683
Ag  0.303  0.303  0.102
Ag  0.396  0.396  0.790
Ag  0.604  0.604  0.210
Ag  0.697  0.697  0.898
Ag  0.907  0.907  0.317

crystal system: monoclinic
calculated formation energy: 0.4 eV per formula unit
excess energy over the best structure of this formula in the dataset: 0.0552 eV per atom
calculated total energy: -30.9 eV for the cell shown



No. 7
Crystalline Ta16Re13 at its relaxed geometry. Source: OQMD, functional PBE.

abc: 8.617 8.617 8.617
angles: 109.47 109.47 109.47
Element x y z (fractional)
Ta  0.000  0.000  0.656
Ta  0.000  0.400  0.683
Ta  0.000  0.656  0.000
Ta  0.000  0.683  0.400
Ta  0.282  0.600  0.600
Ta  0.317  0.317  0.718
Ta  0.317  0.718  0.317
Ta  0.344  0.344  0.344
Ta  0.400  0.000  0.683
Ta  0.400  0.683  0.000
Ta  0.600  0.282  0.600
Ta  0.600  0.600  0.282
Ta  0.656  0.000  0.000
Ta  0.683  0.000  0.400
Ta  0.683  0.400  0.000
Ta  0.718  0.317  0.317
Re  0.000  0.000  0.000
Re  0.000  0.188  0.373
Re  0.000  0.373  0.188
Re  0.185  0.812  0.812
Re  0.188  0.000  0.373
Re  0.188  0.373  0.000
Re  0.373  0.000  0.188
Re  0.373  0.188  0.000
Re  0.627  0.627  0.815
Re  0.627  0.815  0.627
Re  0.812  0.185  0.812
Re  0.812  0.812  0.185
Re  0.815  0.627  0.627

crystal system: cubic
calculated formation energy: -4.5 eV per formula unit
magnetic moment: 0.003 μB per cell
excess energy over the best structure of this formula in the dataset: 0.0000 eV per atom
calculated total energy: -355.7 eV for the cell shown



No. 8
Crystalline PrCuGeTeSe2 at its relaxed geometry. Source: OQMD, functional PBE.

abc: 7.015 7.015 11.519
angles: 90.00 90.00 146.28
Element x y z (fractional)
Pr  0.000  0.000  0.000
Pr  0.000  0.000  0.500
Cu  0.474  0.526  0.750
Cu  0.526  0.474  0.250
Ge  0.205  0.795  0.250
Ge  0.795  0.205  0.750
Te  0.104  0.896  0.750
Te  0.896  0.104  0.250
Se  0.356  0.644  0.585
Se  0.356  0.644  0.915
Se  0.644  0.356  0.085
Se  0.644  0.356  0.415

crystal system: orthorhombic
magnetic moment: 0.002 μB per cell
calculated total energy: -55.2 eV for the cell shown



No. 9
Crystalline Pr4CCl4F at its relaxed geometry. Source: OQMD, functional PBE.

abc: 9.075 9.075 7.594
angles: 103.08 103.08 24.02
Element x y z (fractional)
Pr  0.003  0.003  0.264
Pr  0.353  0.353  0.410
Pr  0.647  0.647  0.590
Pr  0.997  0.997  0.736
C  0.500  0.500  0.500
Cl  0.161  0.161  0.872
Cl  0.171  0.171  0.323
Cl  0.829  0.829  0.677
Cl  0.839  0.839  0.128
F  0.500  0.500  0.000

crystal system: monoclinic
magnetic moment: 0.179 μB per cell
calculated total energy: -56.0 eV for the cell shown



No. 10
Crystalline CdPd3 at its relaxed geometry. Source: OQMD, functional PBE.

abc: 7.734 7.734 7.734
angles: 43.25 43.25 43.25
Element x y z (fractional)
Cd  0.000  0.000  0.000
Cd  0.222  0.222  0.222
Cd  0.778  0.778  0.778
Pd  0.000  0.500  0.500
Pd  0.225  0.721  0.721
Pd  0.279  0.279  0.775
Pd  0.279  0.775  0.279
Pd  0.500  0.000  0.500
Pd  0.500  0.500  0.000
Pd  0.721  0.225  0.721
Pd  0.721  0.721  0.225
Pd  0.775  0.279  0.279

crystal system: trigonal
calculated formation energy: -1.0 eV per formula unit
calculated total energy: -52.4 eV for the cell shown



No. 11
Crystalline PrDyLu at its relaxed geometry. Source: OQMD, functional PBE.

abc: 7.680 7.680 7.680
angles: 90.00 90.00 90.00
Element x y z (fractional)
Pr  0.000  0.000  0.000
Pr  0.000  0.500  0.500
Pr  0.500  0.000  0.500
Pr  0.500  0.500  0.000
Dy  0.000  0.000  0.500
Dy  0.000  0.500  0.000
Dy  0.500  0.000  0.000
Dy  0.500  0.500  0.500
Lu  0.250  0.250  0.750
Lu  0.250  0.750  0.250
Lu  0.750  0.250  0.250
Lu  0.750  0.750  0.750

crystal system: cubic
calculated formation energy: 2.1 eV per formula unit
magnetic moment: 0.120 μB per cell
excess energy over the best structure of this formula in the dataset: 0.0000 eV per atom
calculated total energy: -47.2 eV for the cell shown



No. 12
Crystalline DyTlCdTe3 at its relaxed geometry. Source: OQMD, functional PBE.

abc: 11.696 4.461 15.381
angles: 90.00 90.00 90.00
Element x y z (fractional)
Dy  0.011  0.250  0.248
Dy  0.489  0.750  0.748
Dy  0.511  0.250  0.252
Dy  0.989  0.750  0.752
Tl  0.235  0.750  0.511
Tl  0.265  0.250  0.011
Tl  0.735  0.750  0.989
Tl  0.765  0.250  0.489
Cd  0.241  0.250  0.715
Cd  0.259  0.750  0.215
Cd  0.741  0.250  0.785
Cd  0.759  0.750  0.285
Te  0.038  0.250  0.616
Te  0.061  0.750  0.111
Te  0.239  0.750  0.832
Te  0.261  0.250  0.332
Te  0.439  0.250  0.611
Te  0.462  0.750  0.116
Te  0.538  0.250  0.884
Te  0.561  0.750  0.389
Te  0.739  0.750  0.668
Te  0.761  0.250  0.168
Te  0.939  0.250  0.889
Te  0.962  0.750  0.384

crystal system: orthorhombic
magnetic moment: 0.017 μB per cell
excess energy over the best structure of this formula in the dataset: 0.0006 eV per atom
calculated total energy: -88.7 eV for the cell shown



No. 13
Crystalline HfUBi at its relaxed geometry. Source: OQMD, functional PBE.

abc: 6.942 6.942 6.942
angles: 90.00 90.00 90.00
Element x y z (fractional)
Hf  0.000  0.000  0.000
Hf  0.000  0.500  0.500
Hf  0.500  0.000  0.500
Hf  0.500  0.500  0.000
U  0.250  0.250  0.250
U  0.250  0.750  0.750
U  0.750  0.250  0.750
U  0.750  0.750  0.250
Bi  0.250  0.250  0.750
Bi  0.250  0.750  0.250
Bi  0.750  0.250  0.250
Bi  0.750  0.750  0.750

crystal system: cubic
magnetic moment: 5.029 μB per cell
excess energy over the best structure of this formula in the dataset: 0.0000 eV per atom
calculated total energy: -91.3 eV for the cell shown



No. 14
Crystalline CsHoCuTe3 at its relaxed geometry. Source: OQMD, functional PBE.

abc: 9.035 9.035 11.339
angles: 90.00 90.00 153.01
Element x y z (fractional)
Cs  0.243  0.757  0.750
Cs  0.757  0.243  0.250
Ho  0.500  0.500  0.000
Ho  0.500  0.500  0.500
Cu  0.034  0.966  0.250
Cu  0.966  0.034  0.750
Te  0.120  0.880  0.061
Te  0.120  0.880  0.439
Te  0.440  0.560  0.250
Te  0.560  0.440  0.750
Te  0.880  0.120  0.561
Te  0.880  0.120  0.939

crystal system: orthorhombic
magnetic moment: 0.007 μB per cell
calculated total energy: -48.3 eV for the cell shown



No. 15
Crystalline ZnSb at its relaxed geometry. Source: OQMD, functional PBE.

abc: 5.359 5.109 8.565
angles: 90.00 108.08 90.00
Element x y z (fractional)
Zn  0.000  0.000  0.000
Zn  0.065  0.500  0.163
Zn  0.163  0.000  0.327
Zn  0.476  0.500  0.970
Zn  0.669  0.500  0.357
Sb  0.238  0.500  0.491
Sb  0.381  0.000  0.767
Sb  0.579  0.000  0.163
Sb  0.777  0.000  0.559
Sb  0.911  0.500  0.836

crystal system: monoclinic
calculated total energy: -25.3 eV for the cell shown



No. 16
Crystalline TlNi15 at its relaxed geometry. Source: OQMD, functional PBE.

abc: 3.613 3.614 38.311
angles: 90.00 90.00 90.00
Element x y z (fractional)
Tl  0.000  0.000  0.000
Tl  0.500  0.000  0.322
Ni  0.000  0.000  0.384
Ni  0.000  0.000  0.471
Ni  0.000  0.000  0.555
Ni  0.000  0.000  0.640
Ni  0.000  0.000  0.725
Ni  0.000  0.000  0.809
Ni  0.000  0.000  0.895
Ni  0.000  0.500  0.340
Ni  0.000  0.500  0.427
Ni  0.000  0.500  0.513
Ni  0.000  0.500  0.598
Ni  0.000  0.500  0.682
Ni  0.000  0.500  0.767
Ni  0.000  0.500  0.852
Ni  0.000  0.500  0.938
Ni  0.500  0.000  0.427
Ni  0.500  0.000  0.513
Ni  0.500  0.000  0.598
Ni  0.500  0.000  0.682
Ni  0.500  0.000  0.767
Ni  0.500  0.000  0.852
Ni  0.500  0.000  0.938
Ni  0.500  0.500  0.384
Ni  0.500  0.500  0.471
Ni  0.500  0.500  0.555
Ni  0.500  0.500  0.640
Ni  0.500  0.500  0.725
Ni  0.500  0.500  0.809
Ni  0.500  0.500  0.895
Ni  0.500  0.500  0.982

crystal system: orthorhombic
magnetic moment: 9.400 μB per cell
excess energy over the best structure of this formula in the dataset: 0.0000 eV per atom
calculated total energy: -168.9 eV for the cell shown



No. 17
Crystalline PaPdN3 at its relaxed geometry. Source: OQMD, functional PBE.

abc: 5.720 5.720 5.439
angles: 90.00 90.00 120.00
Element x y z (fractional)
Pa  0.333  0.667  0.000
Pa  0.667  0.333  0.000
Pd  0.000  0.000  0.248
Pd  0.000  0.000  0.752
N  0.000  0.344  0.216
N  0.000  0.656  0.784
N  0.344  0.000  0.216
N  0.344  0.344  0.784
N  0.656  0.000  0.784
N  0.656  0.656  0.216

crystal system: trigonal
magnetic moment: 0.268 μB per cell
calculated total energy: -77.8 eV for the cell shown



No. 18
Crystalline Li2Os2O5 at its relaxed geometry. Source: OQMD, functional PBE.

abc: 3.799 3.799 6.854
angles: 90.00 90.00 90.00
Element x y z (fractional)
Li  0.000  0.000  0.000
Li  0.000  0.000  0.500
Os  0.500  0.500  0.195
Os  0.500  0.500  0.805
O  0.000  0.500  0.196
O  0.000  0.500  0.804
O  0.500  0.000  0.196
O  0.500  0.000  0.804
O  0.500  0.500  0.500

crystal system: tetragonal
magnetic moment: 0.029 μB per cell
excess energy over the best structure of this formula in the dataset: 0.0000 eV per atom
calculated total energy: -60.5 eV for the cell shown



No. 19
Crystalline CoTc2Hg at its relaxed geometry. Source: OQMD, functional PBE.

abc: 2.750 2.750 9.804
angles: 90.00 90.00 120.00
Element x y z (fractional)
Co  0.000  0.000  0.000
Tc  0.000  0.000  0.238
Tc  0.000  0.000  0.762
Hg  0.667  0.333  0.500

crystal system: hexagonal
calculated formation energy: 3.7 eV per formula unit
magnetic moment: 0.021 μB per cell
calculated total energy: -24.5 eV for the cell shown



No. 20
Crystalline BaFeAgTe3 at its relaxed geometry. Source: OQMD, functional PBE.

abc: 14.174 4.248 10.884
angles: 90.00 90.00 90.00
Element x y z (fractional)
Ba  0.226  0.250  0.066
Ba  0.274  0.750  0.566
Ba  0.726  0.250  0.434
Ba  0.774  0.750  0.934
Fe  0.011  0.250  0.345
Fe  0.489  0.750  0.845
Fe  0.511  0.250  0.155
Fe  0.989  0.750  0.655
Ag  0.013  0.750  0.086
Ag  0.487  0.250  0.586
Ag  0.513  0.750  0.414
Ag  0.987  0.250  0.914
Te  0.076  0.250  0.565
Te  0.108  0.750  0.847
Te  0.129  0.750  0.292
Te  0.371  0.250  0.792
Te  0.392  0.250  0.347
Te  0.424  0.750  0.065
Te  0.576  0.250  0.935
Te  0.608  0.750  0.653
Te  0.629  0.750  0.208
Te  0.871  0.250  0.708
Te  0.892  0.250  0.153
Te  0.924  0.750  0.435

crystal system: orthorhombic
magnetic moment: 3.716 μB per cell
excess energy over the best structure of this formula in the dataset: 0.0123 eV per atom
calculated total energy: -101.4 eV for the cell shown